1.
Below is Tl3Hg12Ge5 after structural relaxation, with properties calculated at the GGA-PBE level.

Cell and atoms, written as POSCAR:
```
Tl3Hg12Ge5
1.0
14.647 0.000 0.000
-4.882 13.810 0.000
-4.882 -6.905 11.959
Hg Ge Tl
48 20 12
direct
0.424 0.037 0.324
0.600 0.713 0.676
0.463 0.676 0.076
0.100 0.176 0.213
0.676 0.213 0.600
0.324 0.787 0.400
0.537 0.324 0.924
0.400 0.287 0.324
0.176 0.076 0.963
0.600 0.886 0.424
0.100 0.924 0.386
0.114 0.400 0.076
0.463 0.787 0.886
0.614 0.576 0.900
0.713 0.600 0.176
0.900 0.824 0.787
0.576 0.614 0.400
0.886 0.287 0.463
0.824 0.900 0.287
0.963 0.386 0.287
0.787 0.463 0.386
0.900 0.076 0.614
0.537 0.213 0.114
0.386 0.963 0.787
0.037 0.424 0.824
0.213 0.676 0.100
0.963 0.576 0.176
0.213 0.537 0.614
0.176 0.100 0.713
0.576 0.963 0.676
0.824 0.924 0.037
0.924 0.100 0.886
0.386 0.424 0.100
0.924 0.824 0.537
0.324 0.537 0.424
0.787 0.324 0.900
0.424 0.386 0.600
0.886 0.600 0.924
0.713 0.114 0.037
0.076 0.900 0.114
0.287 0.886 0.963
0.676 0.463 0.576
0.400 0.114 0.576
0.114 0.713 0.537
0.076 0.176 0.463
0.287 0.400 0.824
0.614 0.037 0.213
0.037 0.614 0.713
0.000 0.000 0.500
0.375 0.125 0.750
0.375 0.250 0.125
0.125 0.750 0.375
0.750 0.625 0.375
0.875 0.625 0.750
0.000 0.500 0.500
0.000 0.500 0.000
0.500 0.500 0.500
0.500 0.000 0.000
0.500 0.000 0.500
0.250 0.875 0.125
0.000 0.000 0.000
0.875 0.250 0.625
0.500 0.500 0.000
0.750 0.125 0.875
0.125 0.375 0.250
0.625 0.875 0.250
0.250 0.375 0.625
0.625 0.750 0.875
0.125 0.875 0.750
0.250 0.625 0.875
0.875 0.750 0.125
0.375 0.625 0.250
0.125 0.250 0.875
0.625 0.250 0.375
0.750 0.875 0.625
0.875 0.125 0.250
0.375 0.750 0.625
0.625 0.375 0.750
0.250 0.125 0.375
0.750 0.375 0.125
```

Values from the calculation:
- SG = Ia-3d (230)
- uncorrected energy (eV per atom) = -1.454
- ΔH_f (0 K) (eV/atom) = 0.237
- N(E_F) (states/eV/cell) = 65.221
- spin magnetization (μB per cell) = 0.00



2.
Below is PmAl4Bi after structural relaxation, with properties calculated at the GGA-PBE level.

Cell and atoms, written as POSCAR:
```
PmAl4Bi
1.0
-5.288 2.048 -0.059
-4.406 -3.539 -0.472
-3.427 -0.869 4.435
Al Bi Pm
4 1 1
direct
0.625 0.625 0.625
0.125 0.625 0.625
0.625 0.625 0.125
0.625 0.125 0.625
0.250 0.250 0.250
0.000 0.000 0.000
```

Values from the calculation:
- SG = F-43m (216)
- uncorrected energy (eV per atom) = -4.108
- ΔH_f (0 K) (eV/atom) = -0.175
- N(E_F) (states/eV/cell) = 4.987
- spin magnetization (μB per cell) = 0.00



3.
Below is Pm2AgAu2 after structural relaxation, with properties calculated at the GGA-PBE level.

Cell and atoms, written as POSCAR:
```
Pm2AgAu2
1.0
-2.207 3.019 1.165
-6.547 -3.907 -2.280
-0.594 -3.232 7.247
Au Pm Ag
4 4 2
direct
0.000 0.129 0.371
0.000 0.371 0.871
0.000 0.871 0.629
0.000 0.629 0.129
0.500 0.828 0.328
0.500 0.672 0.828
0.500 0.172 0.672
0.500 0.328 0.172
0.000 0.500 0.500
0.000 0.000 0.000
```

Values from the calculation:
- SG = P4/mbm (127)
- uncorrected energy (eV per atom) = -4.438
- ΔH_f (0 K) (eV/atom) = -0.657
- N(E_F) (states/eV/cell) = 7.038
- spin magnetization (μB per cell) = 0.00



4.
Below is MgPbSe2N after structural relaxation, with properties calculated at the GGA-PBE level.

Cell and atoms, written as POSCAR:
```
MgPbSe2N
1.0
5.296 0.000 0.000
0.000 5.296 0.000
0.000 0.000 4.111
Pb Se N Mg
1 2 1 1
direct
0.500 0.500 0.500
0.500 0.000 0.000
0.000 0.500 0.000
0.000 0.000 0.500
0.000 0.000 0.000
```

Values from the calculation:
- SG = P4/mmm (123)
- uncorrected energy (eV per atom) = -3.841
- raw formation energy (eV per atom) = 0.2783
- N(E_F) (states/eV/cell) = 5.041
- energy above the most stable polymorph in this dataset (meV per atom) = 0.0
- spin magnetization (μB per cell) = 2.44



5.
Below is ZnCd2Se after structural relaxation, with properties calculated at the GGA-PBE level.

Cell and atoms, written as POSCAR:
```
ZnCd2Se
1.0
3.169 0.000 0.000
0.000 3.169 0.000
0.000 0.000 8.390
Cd Zn Se
2 1 1
direct
0.000 0.000 0.519
0.000 0.000 0.981
0.500 0.500 0.750
0.500 0.500 0.250
```

Values from the calculation:
- SG = P4/mmm (123)
- uncorrected energy (eV per atom) = -1.543
- raw formation energy (eV per atom) = 0.1037
- N(E_F) (states/eV/cell) = 1.751
- energy above the most stable polymorph in this dataset (meV per atom) = 240.9
- spin magnetization (μB per cell) = 0.00



6.
Below is Ga2FeAg2 after structural relaxation, with properties calculated at the GGA-PBE level.

Cell and atoms, written as POSCAR:
```
Ga2FeAg2
1.0
-3.254 1.734 5.253
-3.985 -4.961 -0.831
2.453 -2.356 2.298
Fe Ag Ga
2 4 4
direct
0.500 0.500 0.000
0.000 0.000 0.000
0.832 0.332 0.500
0.668 0.832 0.500
0.332 0.168 0.500
0.168 0.668 0.500
0.645 0.145 0.000
0.855 0.645 0.000
0.355 0.855 0.000
0.145 0.355 0.000
```

Values from the calculation:
- SG = P4/mbm (127)
- uncorrected energy (eV per atom) = -3.789
- ΔH_f (0 K) (eV/atom) = 0.255
- N(E_F) (states/eV/cell) = 7.438
- spin magnetization (μB per cell) = 4.40



Question: Among the records above, which one has the lowest uncorrected energy?
Answer: Pm2AgAu2



Question: uncorrected energy of number 3 (Pm2AgAu2)?
Answer: -4.438 eV per atom



Question: Among the records above, which one has the highest uncorrected energy?
Answer: Tl3Hg12Ge5



Question: What is the formula in the second record?
Answer: PmAl4Bi